[1]
AcVH2O4: relaxed, PBE with a Hubbard U.

Cell and atoms, written as extended XYZ:
```
8
Lattice="-2.362 2.930 3.311 2.362 -2.930 3.311 2.362 2.930 -3.311" Properties=species:S:1:pos:R:3 pbc="T T T"
Ac 0.000 0.000 0.000
V 0.000 0.000 3.311
H 2.362 0.000 2.162
H 0.000 2.930 1.148
O 1.004 2.195 -1.192
O 1.358 0.735 2.119
O 1.358 -0.735 4.502
O 1.004 3.665 1.192
```

Values from the calculation:
The symmetry is I222. The uncorrected energy comes out at -6.683 eV/atom.

[2]
Ac2VHO6: relaxed, PBE with a Hubbard U.

Cell and atoms, written as extended XYZ:
```
10
Lattice="4.423 -2.885 0.000 4.423 2.885 0.000 -3.908 0.000 4.705" Properties=species:S:1:pos:R:3 pbc="T T T"
Ac 1.331 0.000 1.056
Ac 3.606 0.000 3.650
V -1.954 0.000 2.353
H 4.423 0.000 0.000
O 1.485 1.576 3.207
O 3.453 1.576 1.498
O -0.667 0.000 4.004
O 5.605 0.000 0.701
O 1.485 -1.576 3.207
O 3.453 -1.576 1.498
```

Values from the calculation:
The calculation puts the density of states at the Fermi level at 0.00 states/eV per cell. The symmetry is C2/m. The uncorrected energy comes out at -7.195 eV/atom.

[3]
AcH2WO6: relaxed, PBE with a Hubbard U.

Cell and atoms, written as extended XYZ:
```
20
Lattice="4.339 -3.869 0.000 4.339 3.869 0.000 -2.283 0.000 6.900" Properties=species:S:1:pos:R:3 pbc="T T T"
Ac 2.627 2.013 5.175
Ac 3.768 -2.013 1.725
H -0.279 0.511 6.755
H 0.863 -0.511 3.305
H 5.532 0.511 3.595
H 6.673 -0.511 0.145
W 3.768 1.821 1.725
W 2.627 -1.821 5.175
O -1.264 0.620 6.517
O 1.967 1.921 2.310
O -0.123 -0.620 3.068
O 3.395 0.433 0.418
O 5.569 1.921 1.140
O 2.253 -0.433 3.868
O 4.141 0.433 3.032
O 0.826 -1.921 5.760
O 3.000 -0.433 6.481
O 6.517 0.620 3.832
O 4.427 -1.921 4.590
O 7.659 -0.620 0.382
```

Values from the calculation:
The symmetry is C2/c. The uncorrected energy comes out at -6.655 eV/atom.

What did the second record say?
Ac2VHO6: relaxed, PBE with a Hubbard U.

Cell and atoms, written as extended XYZ:
```
10
Lattice="4.423 -2.885 0.000 4.423 2.885 0.000 -3.908 0.000 4.705" Properties=species:S:1:pos:R:3 pbc="T T T"
Ac 1.331 0.000 1.056
Ac 3.606 0.000 3.650
V -1.954 0.000 2.353
H 4.423 0.000 0.000
O 1.485 1.576 3.207
O 3.453 1.576 1.498
O -0.667 0.000 4.004
O 5.605 0.000 0.701
O 1.485 -1.576 3.207
O 3.453 -1.576 1.498
```

Values from the calculation:
The calculation puts the density of states at the Fermi level at 0.00 states/eV per cell. The symmetry is C2/m. The uncorrected energy comes out at -7.195 eV/atom.